(1)
! NbAsF2 (PBE-GGA, relaxed); values from VASP
&SYSTEM
  ibrav = 0, nat = 16, ntyp = 3
/
ATOMIC_SPECIES
Nb 92.91 Nb.upf
As 74.92 As.upf
F 19.00 F.upf
CELL_PARAMETERS angstrom
5.9561 0.0000 0.0000
0.0000 5.9561 0.0000
0.0000 0.0000 5.9561
ATOMIC_POSITIONS angstrom
Nb 0.0000 0.0000 0.0000
Nb 0.0000 2.9780 2.9780
Nb 2.9780 0.0000 2.9780
Nb 2.9780 2.9780 0.0000
As 0.0000 0.0000 2.9780
As 0.0000 2.9780 0.0000
As 2.9780 0.0000 0.0000
As 2.9780 2.9780 2.9780
F 1.4890 1.4890 1.4890
F 1.4890 1.4890 4.4671
F 1.4890 4.4671 1.4890
F 1.4890 4.4671 4.4671
F 4.4671 1.4890 1.4890
F 4.4671 1.4890 4.4671
F 4.4671 4.4671 1.4890
F 4.4671 4.4671 4.4671
! Polymorph energy (0 for the lowest one)   619.0 meV/atom
! DOS(E_F)   0.407 states/eV/f.u.


(2)
! NbAsF2 (PBE-GGA, relaxed); values from VASP
&SYSTEM
  ibrav = 0, nat = 12, ntyp = 3
/
ATOMIC_SPECIES
Nb 92.91 Nb.upf
As 74.92 As.upf
F 19.00 F.upf
CELL_PARAMETERS angstrom
2.8346 0.0000 0.0000
-1.4173 2.4548 0.0000
0.0000 0.0000 32.0651
ATOMIC_POSITIONS angstrom
Nb 0.0000 0.0000 0.0000
Nb 0.0000 1.6365 21.3767
Nb 1.4173 0.8183 10.6884
As 0.0000 0.0000 16.0325
As 0.0000 1.6365 5.3442
As 1.4173 0.8183 26.7209
F 0.0000 0.0000 12.2041
F 0.0000 0.0000 19.8610
F 0.0000 1.6365 1.5157
F 0.0000 1.6365 9.1726
F 1.4173 0.8183 22.8925
F 1.4173 0.8183 30.5493
! Polymorph energy (0 for the lowest one)   0.0 meV/atom
! DOS(E_F)   3.412 states/eV/f.u.


(3)
! Nb2AsF (PBE-GGA, relaxed); values from VASP
&SYSTEM
  ibrav = 0, nat = 16, ntyp = 3
/
ATOMIC_SPECIES
Nb 92.91 Nb.upf
As 74.92 As.upf
F 19.00 F.upf
CELL_PARAMETERS angstrom
4.3521 0.0000 0.0000
0.0000 4.3521 0.0000
0.0000 0.0000 15.2236
ATOMIC_POSITIONS angstrom
Nb 0.8383 1.0880 1.9029
Nb 1.0880 3.0143 5.7088
Nb 1.0880 3.5138 13.3206
Nb 1.3378 1.0880 9.5147
Nb 3.0143 3.2641 9.5147
Nb 3.2641 0.8383 13.3206
Nb 3.2641 1.3378 5.7088
Nb 3.5138 3.2641 1.9029
As 0.0000 0.0000 7.6118
As 0.0000 2.1760 11.4177
As 2.1760 0.0000 3.8059
As 2.1760 2.1760 0.0000
F 0.0000 0.0000 0.0000
F 0.0000 2.1760 3.8059
F 2.1760 0.0000 11.4177
F 2.1760 2.1760 7.6118
! Polymorph energy (0 for the lowest one)   328.9 meV/atom
! DOS(E_F)   3.919 states/eV/f.u.


(4)
! NbAsF2 (PBE-GGA, relaxed); values from VASP
&SYSTEM
  ibrav = 0, nat = 16, ntyp = 3
/
ATOMIC_SPECIES
Nb 92.91 Nb.upf
As 74.92 As.upf
F 19.00 F.upf
CELL_PARAMETERS angstrom
3.8184 0.0000 0.0000
0.0000 3.8184 0.0000
0.0000 0.0000 15.6403
ATOMIC_POSITIONS angstrom
Nb 0.0000 0.0000 0.0000
Nb 0.0000 1.9092 3.9101
Nb 1.9092 0.0000 11.7303
Nb 1.9092 1.9092 7.8202
As 0.0000 0.0000 7.8202
As 0.0000 1.9092 11.7303
As 1.9092 0.0000 3.9101
As 1.9092 1.9092 0.0000
F 0.6811 0.9546 1.9550
F 0.9546 2.5903 5.8651
F 0.9546 3.1374 13.6853
F 1.2282 0.9546 9.7752
F 2.5903 2.8638 9.7752
F 2.8638 0.6811 13.6853
F 2.8638 1.2282 5.8651
F 3.1374 2.8638 1.9550
! Polymorph energy (0 for the lowest one)   156.5 meV/atom
! DOS(E_F)   2.831 states/eV/f.u.


(5)
! NbAsO2F (PBE-GGA, relaxed); values from VASP
&SYSTEM
  ibrav = 0, nat = 5, ntyp = 4
/
ATOMIC_SPECIES
Nb 92.91 Nb.upf
As 74.92 As.upf
O 16.00 O.upf
F 19.00 F.upf
CELL_PARAMETERS angstrom
4.0227 0.0000 0.0000
0.0000 4.0227 0.0000
0.0000 0.0000 4.2837
ATOMIC_POSITIONS angstrom
Nb 0.0000 0.0000 0.0000
As 2.0113 2.0113 2.1418
O 0.0000 2.0113 0.0000
O 2.0113 0.0000 0.0000
F 0.0000 0.0000 2.1418
! DOS(E_F)   3.296 states/eV/f.u.


(6)
! NbAsOF2 (PBE-GGA, relaxed); values from VASP
&SYSTEM
  ibrav = 0, nat = 5, ntyp = 4
/
ATOMIC_SPECIES
Nb 92.91 Nb.upf
As 74.92 As.upf
O 16.00 O.upf
F 19.00 F.upf
CELL_PARAMETERS angstrom
4.3452 0.0000 0.0000
0.0000 4.3452 0.0000
0.0000 0.0000 3.9638
ATOMIC_POSITIONS angstrom
Nb 0.0000 0.0000 0.0000
As 2.1726 2.1726 1.9819
O 0.0000 0.0000 1.9819
F 0.0000 2.1726 0.0000
F 2.1726 0.0000 0.0000
! Polymorph energy (0 for the lowest one)   0.0 meV/atom
! DOS(E_F)   3.860 states/eV/f.u.


(7)
! NbAsO2F (PBE-GGA, relaxed); values from VASP
&SYSTEM
  ibrav = 0, nat = 5, ntyp = 4
/
ATOMIC_SPECIES
Nb 92.91 Nb.upf
As 74.92 As.upf
O 16.00 O.upf
F 19.00 F.upf
CELL_PARAMETERS angstrom
4.1338 0.0000 0.0000
0.0000 4.1338 0.0000
0.0000 0.0000 4.0277
ATOMIC_POSITIONS angstrom
Nb 0.0000 0.0000 0.0000
As 2.0669 2.0669 2.0139
O 0.0000 2.0669 2.0139
O 2.0669 0.0000 2.0139
F 2.0669 2.0669 0.0000
! DOS(E_F)   3.745 states/eV/f.u.


(8)
! NbAsOF2 (PBE-GGA, relaxed); values from VASP
&SYSTEM
  ibrav = 0, nat = 5, ntyp = 4
/
ATOMIC_SPECIES
Nb 92.91 Nb.upf
As 74.92 As.upf
O 16.00 O.upf
F 19.00 F.upf
CELL_PARAMETERS angstrom
4.3221 0.0000 0.0000
0.0000 4.3221 0.0000
0.0000 0.0000 4.0612
ATOMIC_POSITIONS angstrom
Nb 0.0000 0.0000 0.0000
As 2.1611 2.1611 2.0306
O 2.1611 2.1611 0.0000
F 0.0000 2.1611 2.0306
F 2.1611 0.0000 2.0306
! Polymorph energy (0 for the lowest one)   883.8 meV/atom
! DOS(E_F)   4.236 states/eV/f.u.


| no. | formation energy (no corrections) (kJ per mole of atoms) |
| --- | --- |
| 1 | -73.30 |
| 2 | -133.02 |
| 3 | -33.58 |
| 4 | -117.92 |
| 5 | -125.26 |
| 6 | -127.18 |
| 7 | -40.47 |
| 8 | -41.91 |